Material: KZr2As
Method: DFT, PBE
State: optimized geometry

Calculated values
For the magnetic moment, the calculation gives 0.00 μB per cell. Its symmetry is R-3m. Its formation enthalpy at 0 K is -0.10 eV/atom.

Lattice parameters (Å, degrees): 10.1487 10.1487 10.1487 21.17 21.17 21.17
With the nearest neighbours (Å) after each atom.
Positions (direct):
As  0.2500  0.2500  0.2500  6 Zr 2.63
Zr  0.9676  0.9676  0.9676  3 As 2.63
Zr  0.5324  0.5324  0.5324  3 As 2.63
K  0.7500  0.7500  0.7500  6 K 3.73, 6 Zr 4.06